Record 1
An optimized crystal structure of MgScAu2. Source: Alexandria, functional PBE.

Summary:
E_tot ... -4.12 eV/atom
Magnetization ... 0.00 Bohr magnetons per cell

Unit cell a=6.669 b=6.669 c=6.669 alpha=90.00 beta=90.00 gamma=90.00
Space group F-43m (No. 216)
Inequivalent atoms, fractional coordinates:
Mg 0.000 0.000 0.000 (multiplicity 4)
Sc 0.250 0.250 0.250 (multiplicity 4)
Au 0.000 0.000 0.500 (multiplicity 4)
Au 0.250 0.250 0.750 (multiplicity 4)

=====

Record 2
An optimized crystal structure of Mg2ScAu. Source: Alexandria, functional PBE.

Summary:
E_tot ... -3.56 eV/atom
Magnetization ... 0.00 Bohr magnetons per cell

Unit cell a=3.500 b=3.993 c=6.478 alpha=90.00 beta=105.22 gamma=90.00
Space group Pm (No. 6)
Inequivalent atoms, fractional coordinates:
Mg 0.000 0.000 0.000 (multiplicity 1)
Mg 0.385 0.500 0.760 (multiplicity 1)
Sc 0.646 0.500 0.298 (multiplicity 1)
Au 0.224 0.000 0.460 (multiplicity 1)